## RbSi3Te (SCAN)

Data for a crystal of RbSi3Te relaxed with PBEsol.

a = 5.3755 Å, b = 5.3755 Å, c = 5.3755 Å
α = 90.00°, β = 90.00°, γ = 90.00°
Closest atoms and distances in Å follow each position.
Sites, in units of the cell vectors:
Rb 0.0000 0.0000 0.0000  6 Si 2.69
Si 0.0000 0.0000 0.5000  2 Rb 2.69
Si 0.0000 0.5000 0.0000  2 Rb 2.69
Si 0.5000 0.0000 0.0000  2 Rb 2.69
Te 0.5000 0.5000 0.5000  12 Si 3.80

Computed properties:
DFT total energy = -75.9 eV/cell
E_form (uncorrected) = 2.435 eV/atom


## Rb3SiTe (SCAN)

Data for a crystal of Rb3SiTe relaxed with PBEsol.

a = 6.4262 Å, b = 6.4262 Å, c = 6.4262 Å
α = 90.00°, β = 90.00°, γ = 90.00°
Closest atoms and distances in Å follow each position.
Sites, in units of the cell vectors:
Rb 0.0000 0.0000 0.5000  2 Si 3.21
Rb 0.0000 0.5000 0.0000  2 Si 3.21
Rb 0.5000 0.0000 0.0000  2 Si 3.21
Si 0.0000 0.0000 0.0000  6 Rb 3.21
Te 0.5000 0.5000 0.5000  12 Rb 4.54

Computed properties:
DFT total energy = -109.4 eV/cell
E_form (uncorrected) = 0.020 eV/atom


## Rb2Ti2Si (SCAN)

Data for a crystal of Rb2Ti2Si relaxed with PBEsol.

a = 12.4805 Å, b = 12.4805 Å, c = 12.4805 Å
α = 163.84°, β = 163.84°, γ = 22.93°
Closest atoms and distances in Å follow each position.
Sites, in units of the cell vectors:
Rb 0.1039 0.1039 0.0000  4 Rb 3.51, 4 Si 3.55
Rb 0.8961 0.8961 0.0000  4 Rb 3.51, 4 Si 3.55
Ti 0.2500 0.7500 0.5000  4 Ti 2.48
Ti 0.7500 0.2500 0.5000  4 Ti 2.48
Si 0.5000 0.5000 0.0000  4 Si 3.51, 8 Rb 3.55

Computed properties:
DFT total energy = -79.0 eV/cell
E_form (uncorrected) = 0.908 eV/atom


## RbTi3Si (SCAN)

Data for a crystal of RbTi3Si relaxed with PBEsol.

a = 4.5614 Å, b = 4.5614 Å, c = 4.5614 Å
α = 90.00°, β = 90.00°, γ = 90.00°
Closest atoms and distances in Å follow each position.
Sites, in units of the cell vectors:
Rb 0.0000 0.0000 0.0000  6 Ti 2.28
Ti 0.0000 0.0000 0.5000  2 Rb 2.28
Ti 0.0000 0.5000 0.0000  2 Rb 2.28
Ti 0.5000 0.0000 0.0000  2 Rb 2.28
Si 0.5000 0.5000 0.5000  12 Ti 3.23

Computed properties:
DFT total energy = -68.0 eV/cell
E_form (uncorrected) = 2.176 eV/atom


## RbTl2Si (SCAN)

Data for a crystal of RbTl2Si relaxed with PBEsol.

a = 5.3868 Å, b = 5.3868 Å, c = 5.3868 Å
α = 60.00°, β = 60.00°, γ = 60.00°
Closest atoms and distances in Å follow each position.
Sites, in units of the cell vectors:
Rb 0.0000 0.0000 0.0000  8 Tl 3.30
Tl 0.2500 0.2500 0.2500  4 Rb 3.30, 4 Si 3.30
Tl 0.7500 0.7500 0.7500  4 Rb 3.30, 4 Si 3.30
Si 0.5000 0.5000 0.5000  8 Tl 3.30

Computed properties:
DFT total energy = -174.3 eV/cell
E_form (uncorrected) = 0.284 eV/atom


## RbZn2Si2 (SCAN)

Data for a crystal of RbZn2Si2 relaxed with PBEsol.

a = 6.4127 Å, b = 6.4127 Å, c = 6.4127 Å
α = 142.00°, β = 142.00°, γ = 54.82°
Closest atoms and distances in Å follow each position.
Sites, in units of the cell vectors:
Rb 0.0000 0.0000 0.0000  8 Zn 3.24, 8 Si 3.53
Zn 0.3827 0.3827 0.0000  4 Si 2.58, 1 Zn 2.67
Zn 0.6173 0.6173 0.0000  4 Si 2.58, 1 Zn 2.67
Si 0.2500 0.7500 0.5000  4 Zn 2.58
Si 0.7500 0.2500 0.5000  4 Zn 2.58

Computed properties:
DFT total energy = -66.7 eV/cell
E_form (uncorrected) = 0.228 eV/atom


## RbSmTe2 (SCAN)

Data for a crystal of RbSmTe2 relaxed with PBEsol.

a = 8.8160 Å, b = 8.8160 Å, c = 8.8160 Å
α = 29.67°, β = 29.67°, γ = 29.67°
Closest atoms and distances in Å follow each position.
Sites, in units of the cell vectors:
Rb 0.0000 0.0000 0.0000  6 Te 3.60
Sm 0.5000 0.5000 0.5000  6 Te 3.13
Te 0.2350 0.2350 0.2350  3 Sm 3.13
Te 0.7650 0.7650 0.7650  3 Sm 3.13

Computed properties:
DFT total energy = -146.0 eV/cell
E_form (uncorrected) = -1.587 eV/atom


## RbSn2Te2 (SCAN)

Data for a crystal of RbSn2Te2 relaxed with PBEsol.

a = 6.6586 Å, b = 6.6586 Å, c = 6.6586 Å
α = 128.07°, β = 128.07°, γ = 76.52°
Closest atoms and distances in Å follow each position.
Sites, in units of the cell vectors:
Rb 0.0000 0.0000 0.0000  2 Sn 3.66, 8 Te 3.92
Sn 0.3502 0.3502 0.0000  4 Te 3.10, 1 Sn 3.13
Sn 0.6498 0.6498 0.0000  4 Te 3.10, 1 Sn 3.13
Te 0.2500 0.7500 0.5000  4 Sn 3.10
Te 0.7500 0.2500 0.5000  4 Sn 3.10

Computed properties:
DFT total energy = -169.2 eV/cell
E_form (uncorrected) = -0.427 eV/atom


## Rb2SnTe5 (SCAN)

Data for a crystal of Rb2SnTe5 relaxed with PBEsol.

a = 9.7844 Å, b = 9.7844 Å, c = 9.7844 Å
α = 127.88°, β = 127.88°, γ = 76.81°
Closest atoms and distances in Å follow each position.
Sites, in units of the cell vectors:
Rb 0.0000 0.0000 0.0000  8 Te 3.79, 2 Rb 3.83
Rb 0.2500 0.2500 0.0000  8 Te 3.61, 2 Rb 3.83
Rb 0.5000 0.5000 0.0000  8 Te 3.79, 2 Rb 3.83
Rb 0.7500 0.7500 0.0000  8 Te 3.61, 2 Rb 3.83
Sn 0.2500 0.7500 0.5000  4 Te 2.79
Sn 0.7500 0.2500 0.5000  4 Te 2.79
Te 0.0000 0.5000 0.5000  4 Te 3.02
Te 0.0434 0.5434 0.8592  1 Sn 2.79, 1 Te 3.02
Te 0.1842 0.0434 0.5000  1 Sn 2.79, 1 Te 3.02
Te 0.3158 0.8158 0.8592  1 Sn 2.79, 1 Te 3.02
Te 0.4566 0.3158 0.5000  1 Sn 2.79, 1 Te 3.02
Te 0.5000 0.0000 0.5000  4 Te 3.02
Te 0.5434 0.6842 0.5000  1 Sn 2.79, 1 Te 3.02
Te 0.6842 0.1842 0.1408  1 Sn 2.79, 1 Te 3.02
Te 0.8158 0.9566 0.5000  1 Sn 2.79, 1 Te 3.02
Te 0.9566 0.4566 0.1408  1 Sn 2.79, 1 Te 3.02

Computed properties:
DFT total energy = -537.0 eV/cell
E_form (uncorrected) = -0.608 eV/atom


## RbZrSnTe2 (SCAN)

Data for a crystal of RbZrSnTe2 relaxed with PBEsol.

a = 5.6294 Å, b = 5.6294 Å, c = 5.5575 Å
α = 90.00°, β = 90.00°, γ = 90.00°
Closest atoms and distances in Å follow each position.
Sites, in units of the cell vectors:
Rb 0.0000 0.0000 0.0000  8 Te 3.96, 4 Sn 3.98
Zr 0.5000 0.5000 0.5000  2 Sn 2.78, 4 Te 2.81
Sn 0.5000 0.5000 0.0000  2 Zr 2.78
Te 0.0000 0.5000 0.5000  2 Zr 2.81
Te 0.5000 0.0000 0.5000  2 Zr 2.81

Computed properties:
DFT total energy = -164.6 eV/cell
E_form (uncorrected) = -0.550 eV/atom


## RbTl2Sn2 (SCAN)

Data for a crystal of RbTl2Sn2 relaxed with PBEsol.

a = 9.3379 Å, b = 9.3379 Å, c = 3.5198 Å
α = 90.00°, β = 90.00°, γ = 90.00°
Closest atoms and distances in Å follow each position.
Sites, in units of the cell vectors:
Rb 0.0000 0.0000 0.0000  2 Rb 3.52, 4 Tl 3.59
Rb 0.5000 0.5000 0.0000  2 Rb 3.52, 4 Tl 3.59
Tl 0.1437 0.3563 0.0000  6 Sn 3.22-3.30, 2 Tl 3.52, 2 Rb 3.59
Tl 0.3563 0.8563 0.0000  6 Sn 3.22-3.30, 2 Tl 3.52, 2 Rb 3.59
Tl 0.6437 0.1437 0.0000  6 Sn 3.22-3.30, 2 Tl 3.52, 2 Rb 3.59
Tl 0.8563 0.6437 0.0000  6 Sn 3.22-3.30, 2 Tl 3.52, 2 Rb 3.59
Sn 0.1448 0.6448 0.5000  6 Tl 3.22-3.30, 2 Sn 3.52
Sn 0.3552 0.1448 0.5000  6 Tl 3.22-3.30, 2 Sn 3.52
Sn 0.6448 0.8552 0.5000  6 Tl 3.22-3.30, 2 Sn 3.52
Sn 0.8552 0.3552 0.5000  6 Tl 3.22-3.30, 2 Sn 3.52

Computed properties:
DFT total energy = -475.0 eV/cell
E_form = -0.04 eV/atom
ΔE to the lowest computed polymorph = 109 meV per atom


## RbTl2Sn2 (SCAN)

Data for a crystal of RbTl2Sn2 relaxed with PBEsol.

a = 8.7947 Å, b = 8.7947 Å, c = 8.7947 Å
α = 150.45°, β = 150.45°, γ = 42.28°
Closest atoms and distances in Å follow each position.
Sites, in units of the cell vectors:
Rb 0.0000 0.0000 0.0000  8 Tl 3.68
Tl 0.3858 0.3858 0.0000  4 Sn 3.16
Tl 0.6142 0.6142 0.0000  4 Sn 3.16
Sn 0.2500 0.7500 0.5000  4 Tl 3.16, 4 Sn 3.17
Sn 0.7500 0.2500 0.5000  4 Tl 3.16, 4 Sn 3.17

Computed properties:
DFT total energy = -238.1 eV/cell
E_form = -0.15 eV/atom
ΔE to the lowest computed polymorph = 0 meV per atom


## Rb3SnW (SCAN)

Data for a crystal of Rb3SnW relaxed with PBEsol.

a = 6.6741 Å, b = 6.6741 Å, c = 6.6741 Å
α = 90.00°, β = 90.00°, γ = 90.00°
Closest atoms and distances in Å follow each position.
Sites, in units of the cell vectors:
Rb 0.0000 0.0000 0.5000  2 W 3.34
Rb 0.0000 0.5000 0.0000  2 W 3.34
Rb 0.5000 0.0000 0.0000  2 W 3.34
Sn 0.5000 0.5000 0.5000  12 Rb 4.72
W 0.0000 0.0000 0.0000  6 Rb 3.34

Computed properties:
DFT total energy = -160.0 eV/cell
E_form = 1.56 eV/atom


## RbSr2Tc (SCAN)

Data for a crystal of RbSr2Tc relaxed with PBEsol.

a = 5.7408 Å, b = 5.7408 Å, c = 5.7408 Å
α = 60.00°, β = 60.00°, γ = 60.00°
Closest atoms and distances in Å follow each position.
Sites, in units of the cell vectors:
Rb 0.0000 0.0000 0.0000  8 Sr 3.52
Sr 0.2500 0.2500 0.2500  4 Tc 3.52, 4 Rb 3.52
Sr 0.7500 0.7500 0.7500  4 Tc 3.52, 4 Rb 3.52
Tc 0.5000 0.5000 0.5000  8 Sr 3.52

Computed properties:
DFT total energy = -96.7 eV/cell
E_form = 0.91 eV/atom


## RbSr3Te (SCAN)

Data for a crystal of RbSr3Te relaxed with PBEsol.

a = 6.3164 Å, b = 6.3164 Å, c = 6.3164 Å
α = 90.00°, β = 90.00°, γ = 90.00°
Closest atoms and distances in Å follow each position.
Sites, in units of the cell vectors:
Rb 0.0000 0.0000 0.0000  6 Sr 3.16
Sr 0.0000 0.0000 0.5000  2 Rb 3.16
Sr 0.0000 0.5000 0.0000  2 Rb 3.16
Sr 0.5000 0.0000 0.0000  2 Rb 3.16
Te 0.5000 0.5000 0.5000  12 Sr 4.47

Computed properties:
DFT total energy = -121.4 eV/cell
E_form (uncorrected) = 0.690 eV/atom


## RbSrTe3 (SCAN)

Data for a crystal of RbSrTe3 relaxed with PBEsol.

a = 6.1242 Å, b = 6.1242 Å, c = 6.1242 Å
α = 90.00°, β = 90.00°, γ = 90.00°
Closest atoms and distances in Å follow each position.
Sites, in units of the cell vectors:
Rb 0.0000 0.0000 0.0000  12 Te 4.33
Sr 0.5000 0.5000 0.5000  6 Te 3.06
Te 0.0000 0.5000 0.5000  2 Sr 3.06
Te 0.5000 0.0000 0.5000  2 Sr 3.06
Te 0.5000 0.5000 0.0000  2 Sr 3.06

Computed properties:
DFT total energy = -157.6 eV/cell
E_form (uncorrected) = -0.575 eV/atom


## RbSr3Tl (SCAN)

Data for a crystal of RbSr3Tl relaxed with PBEsol.

a = 6.3864 Å, b = 6.3864 Å, c = 6.3864 Å
α = 90.00°, β = 90.00°, γ = 90.00°
Closest atoms and distances in Å follow each position.
Sites, in units of the cell vectors:
Rb 0.0000 0.0000 0.0000  6 Sr 3.19
Sr 0.0000 0.0000 0.5000  2 Rb 3.19
Sr 0.0000 0.5000 0.0000  2 Rb 3.19
Sr 0.5000 0.0000 0.0000  2 Rb 3.19
Tl 0.5000 0.5000 0.5000  12 Sr 4.52

Computed properties:
DFT total energy = -155.7 eV/cell
E_form = 0.84 eV/atom


## RbSrZn2W (SCAN)

Data for a crystal of RbSrZn2W relaxed with PBEsol.

a = 5.1038 Å, b = 5.1038 Å, c = 5.4507 Å
α = 90.00°, β = 90.00°, γ = 90.00°
Closest atoms and distances in Å follow each position.
Sites, in units of the cell vectors:
Rb 0.0000 0.0000 0.0000  4 Sr 3.61, 8 Zn 3.73
Sr 0.5000 0.5000 0.0000  2 W 2.73
Zn 0.0000 0.5000 0.5000  2 W 2.55
Zn 0.5000 0.0000 0.5000  2 W 2.55
W 0.5000 0.5000 0.5000  4 Zn 2.55, 2 Sr 2.73

Computed properties:
DFT total energy = -135.4 eV/cell
E_form = 0.86 eV/atom


## RbSrZn2 (SCAN)

Data for a crystal of RbSrZn2 relaxed with PBEsol.

a = 5.6224 Å, b = 5.6224 Å, c = 5.6224 Å
α = 60.00°, β = 60.00°, γ = 60.00°
Closest atoms and distances in Å follow each position.
Sites, in units of the cell vectors:
Rb 0.0000 0.0000 0.0000  8 Zn 3.44
Sr 0.5000 0.5000 0.5000  8 Zn 3.44
Zn 0.2500 0.2500 0.2500  4 Sr 3.44, 4 Rb 3.44
Zn 0.7500 0.7500 0.7500  4 Rb 3.44, 4 Sr 3.44

Computed properties:
DFT total energy = -69.4 eV/cell
E_form = 0.16 eV/atom


## Rb3Ta (SCAN)

Data for a crystal of Rb3Ta relaxed with PBEsol.

a = 6.4657 Å, b = 6.4657 Å, c = 6.4657 Å
α = 60.00°, β = 60.00°, γ = 60.00°
Closest atoms and distances in Å follow each position.
Sites, in units of the cell vectors:
Rb 0.0000 0.0000 0.0000  8 Rb 3.96
Rb 0.2500 0.2500 0.2500  4 Ta 3.96, 4 Rb 3.96
Rb 0.7500 0.7500 0.7500  4 Ta 3.96, 4 Rb 3.96
Ta 0.5000 0.5000 0.5000  8 Rb 3.96

Computed properties:
DFT total energy = -123.1 eV/cell
E_form = 1.43 eV/atom